[1]
Ca2LaGa: relaxed, PBE-GGA.

## Properties
D(E_F) (states/eV per atom): 1.2098
DFT formation energy (meV/atom): -86.3
Excess energy over the best structure of this formula in the dataset (kJ/mol of formula units): 53
SG: R3m (160)

Unit cell a=3.7612 b=3.7612 c=11.1893 alpha=80.32 beta=80.32 gamma=60.00
With the nearest neighbours (Å) after each atom.
Positions (direct):
La 0.5010 0.5010 0.4971  6 La 3.76, 6 Ca 3.89-3.96
Ga 0.6661 0.6661 0.0016  6 Ca 3.10-3.11
Ca 0.0672 0.0672 0.7984  3 Ga 3.11
Ca 0.2657 0.2657 0.2030  3 Ga 3.10


[2]
NdZn4Cu: relaxed, PBE-GGA.

## Properties
D(E_F) (states/eV per atom): 0.8371
DFT formation energy (meV/atom): -84.7
Excess energy over the best structure of this formula in the dataset (kJ/mol of formula units): 80
SG: F-43m (216)

Unit cell a=5.3197 b=5.3197 c=5.3197 alpha=60.00 beta=60.00 gamma=60.00
With the nearest neighbours (Å) after each atom.
Positions (direct):
Zn 0.6256 0.1233 0.6256  6 Zn 2.65-2.67
Zn 0.6256 0.6256 0.1233  6 Zn 2.65-2.67
Zn 0.1233 0.6256 0.6256  6 Zn 2.65-2.67
Zn 0.6256 0.6256 0.6256  6 Zn 2.65-2.67
Cu 0.0000 0.0000 0.0000  12 Zn 3.12, 4 Nd 3.26
Nd 0.2500 0.2500 0.2500  12 Zn 3.12, 4 Cu 3.26


[3]
Ca2ZrRu: relaxed, PBE-GGA.

## Properties
D(E_F) (states/eV per atom): 0.8416
DFT formation energy (meV/atom): 77.7
Excess energy over the best structure of this formula in the dataset (kJ/mol of formula units): 64
SG: Cm (8)

Unit cell a=4.3154 b=4.3154 c=8.3106 alpha=74.95 beta=74.95 gamma=59.86
With the nearest neighbours (Å) after each atom.
Positions (direct):
Zr 0.2071 0.2071 0.3782  3 Ru 2.49
Ru 0.5431 0.5431 0.3689  3 Zr 2.49
Ca 0.9707 0.9707 0.0876  3 Ru 3.34-3.35, 3 Zr 3.39
Ca 0.7791 0.7791 0.6653  3 Zr 3.37-3.38, 3 Ru 3.42-3.43


[4]
YSc4: relaxed, PBE-GGA.

## Properties
D(E_F) (states/eV per atom): 1.6242
DFT formation energy (meV/atom): 331.9
Excess energy over the best structure of this formula in the dataset (kJ/mol of formula units): 132
SG: I4/mmm (139)

Unit cell a=4.2044 b=4.2043 c=8.3450 alpha=104.59 beta=104.59 gamma=90.00
With the nearest neighbours (Å) after each atom.
Positions (direct):
Sc 0.2500 0.2500 0.0000  8 Sc 2.97-3.19
Sc 0.7500 0.7500 0.0000  8 Sc 2.97-3.19
Sc 0.9041 0.4041 0.3081  5 Sc 2.99-3.19, 4 Y 3.33
Sc 0.0959 0.5959 0.6919  5 Sc 2.99-3.19, 4 Y 3.33
Y 0.5000 0.0000 0.5000  8 Sc 3.33


[5]
BaHfReP2: relaxed, PBE-GGA.

## Properties
D(E_F) (states/eV per atom): 0.9392
DFT formation energy (meV/atom): 414.4
SG: P4/mmm (123)

Unit cell a=5.0827 b=5.0830 c=5.0827 alpha=90.00 beta=90.00 gamma=90.00
With the nearest neighbours (Å) after each atom.
Positions (direct):
P 0.5000 0.0000 0.0000  2 Hf 2.54
P 0.0000 0.0000 0.5000  2 Hf 2.54
Ba 0.5000 0.5000 0.5000  4 Re 3.59, 8 P 3.59
Hf 0.0000 0.0000 0.0000  4 P 2.54, 2 Re 2.54
Re 0.0000 0.5000 0.0000  2 Hf 2.54


[6]
Be2CrHg: relaxed, PBE-GGA.

## Properties
D(E_F) (states/eV per atom): 0.4560
DFT formation energy (meV/atom): 625.9
Excess energy over the best structure of this formula in the dataset (kJ/mol of formula units): 108
SG: R-3m (166)

Unit cell a=8.7766 b=8.7766 c=8.7766 alpha=17.79 beta=17.79 gamma=17.79
With the nearest neighbours (Å) after each atom.
Positions (direct):
Cr 0.2500 0.2500 0.2500  6 Be 2.39
Be 0.5137 0.5137 0.5137  3 Cr 2.39
Be 0.9863 0.9863 0.9863  3 Cr 2.39
Hg 0.7500 0.7500 0.7500  6 Hg 2.71, 6 Be 2.96


[7]
K2AlGaOs: relaxed, PBE-GGA.

## Properties
D(E_F) (states/eV per atom): 0.7595
DFT formation energy (meV/atom): 982.3
SG: P4/mmm (123)

Unit cell a=6.2167 b=4.7395 c=6.2167 alpha=90.00 beta=90.00 gamma=90.00
With the nearest neighbours (Å) after each atom.
Positions (direct):
Ga 0.5000 0.5000 0.5000  8 K 3.91
Al 0.0000 0.5000 0.0000  2 Os 2.37
K 0.0000 0.0000 0.5000  2 Os 3.11
K 0.5000 0.0000 0.0000  2 Os 3.11
Os 0.0000 0.0000 0.0000  2 Al 2.37


[8]
ZnAs2Pt: relaxed, PBE-GGA.

## Properties
D(E_F) (states/eV per atom): 0.5385
DFT formation energy (meV/atom): -51.1
SG: I-42d (122)

Unit cell a=5.7817 b=5.7817 c=6.8298 alpha=64.96 beta=64.96 gamma=90.00
With the nearest neighbours (Å) after each atom.
Positions (direct):
As 0.6375 0.1250 0.2500  2 Pt 2.42, 2 Zn 2.50
As 0.8750 0.8875 0.7500  2 Pt 2.42, 2 Zn 2.50
As 0.3750 0.3625 0.7500  2 Pt 2.42, 2 Zn 2.50
As 0.1125 0.6250 0.2500  2 Pt 2.42, 2 Zn 2.50
Pt 0.7500 0.2500 0.5000  4 As 2.42
Pt 0.0000 0.0000 0.0000  4 As 2.42
Zn 0.2500 0.7500 0.5000  4 As 2.50
Zn 0.5000 0.5000 0.0000  4 As 2.50


[9]
TaNiIr2: relaxed, PBE-GGA.

## Properties
D(E_F) (states/eV per atom): 1.4601
DFT formation energy (meV/atom): -235.8
SG: P4/mmm (123)

Unit cell a=2.7935 b=2.7935 c=7.4478 alpha=90.00 beta=90.00 gamma=90.01
With the nearest neighbours (Å) after each atom.
Positions (direct):
Ir 0.0000 0.0000 0.4836  4 Ni 2.63, 4 Ir 2.79, 4 Ta 2.80
Ir 0.0000 0.0000 0.0164  4 Ni 2.63, 4 Ir 2.79, 4 Ta 2.80
Ni 0.5000 0.5000 0.2500  8 Ir 2.63, 4 Ni 2.79
Ta 0.5000 0.5000 0.7500  4 Ta 2.79, 8 Ir 2.80


[10]
AlZn2CuAu4: relaxed, PBE-GGA.

## Properties
D(E_F) (states/eV per atom): 0.2463
DFT formation energy (meV/atom): -214.9
SG: R-3m (166)

Unit cell a=4.4855 b=4.4855 c=7.8087 alpha=73.31 beta=73.31 gamma=60.00
With the nearest neighbours (Å) after each atom.
Positions (direct):
Au 0.1272 0.1272 0.6183  3 Al 2.73, 4 Zn 2.81-2.82, 1 Cu 2.81
Au 0.8728 0.8728 0.3817  3 Al 2.73, 4 Zn 2.81-2.82, 1 Cu 2.81
Au 0.6222 0.6222 0.1334  4 Zn 2.70-2.71, 1 Al 2.70, 3 Cu 2.77
Au 0.3778 0.3778 0.8666  4 Zn 2.70-2.71, 1 Al 2.70, 3 Cu 2.77
Cu 0.0000 0.0000 0.0000  8 Au 2.77-2.81
Zn 0.7450 0.7450 0.7650  8 Au 2.70-2.82
Zn 0.2550 0.2550 0.2350  8 Au 2.70-2.82
Al 0.5000 0.5000 0.5000  8 Au 2.70-2.73


[11]
K2PaIO8: relaxed, PBE-GGA.

## Properties
D(E_F) (states/eV per atom): 0.0000
SG: P2/m (10)
ΔE_f (raw) (eV per formula unit): -17.94

Unit cell a=4.6749 b=5.9948 c=7.0377 alpha=89.98 beta=90.01 gamma=94.48
With the nearest neighbours (Å) after each atom.
Positions (direct):
O 0.9467 0.2092 0.1927  1 I 1.88
O 0.6561 0.8022 0.5000  1 Pa 1.92
O 0.0533 0.7908 0.8073  1 I 1.88
O 0.0533 0.7909 0.1929  1 I 1.88
O 0.3439 0.1978 0.5000  1 Pa 1.92
O 0.4225 0.1018 0.0001  1 O 1.47
O 0.5775 0.8982 0.9999  1 O 1.47
O 0.9467 0.2091 0.8071  1 I 1.88
I 0.0000 0.0000 0.0000  6 O 1.88-2.02
K 0.5000 0.5001 0.2334  6 O 2.67-2.90
K 0.5000 0.4999 0.7666  6 O 2.67-2.90
Pa 0.0000 0.0000 0.5000  2 O 1.92


[12]
InAg14Hg: relaxed, PBE-GGA.

## Properties
D(E_F) (states/eV per atom): 0.3066
DFT formation energy (meV/atom): 30.6
SG: Amm2 (38)

Unit cell a=5.9054 b=5.9054 c=9.7578 alpha=90.00 beta=90.00 gamma=119.48
With the nearest neighbours (Å) after each atom.
Positions (direct):
Ag 0.5411 0.9594 0.5000  2 Hg 2.95-2.96, 2 In 2.95-2.96, 8 Ag 2.97-3.03
Ag 0.3750 0.6250 0.2446  11 Ag 2.93-3.03, 1 Hg 3.01
Ag 0.0406 0.4589 0.5000  2 Hg 2.95-2.96, 2 In 2.95-2.96, 8 Ag 2.97-3.03
Ag 0.8770 0.6241 0.2427  10 Ag 2.92-3.02, 1 In 3.05, 1 Hg 3.05
Ag 0.3750 0.6250 0.7554  11 Ag 2.93-3.03, 1 Hg 3.01
Ag 0.8748 0.1252 0.7542  11 Ag 2.94-3.02, 1 In 3.00
Ag 0.3759 0.1230 0.2427  10 Ag 2.92-3.02, 1 In 3.05, 1 Hg 3.05
Ag 0.2068 0.2919 0.0000  12 Ag 2.93-2.98
Ag 0.8748 0.1252 0.2458  11 Ag 2.94-3.02, 1 In 3.00
Ag 0.8770 0.6241 0.7573  10 Ag 2.92-3.02, 1 In 3.05, 1 Hg 3.05
Ag 0.7081 0.7932 0.0000  12 Ag 2.93-2.98
Ag 0.7079 0.2921 0.0000  12 Ag 2.92-2.98
Ag 0.3759 0.1230 0.7573  10 Ag 2.92-3.02, 1 In 3.05, 1 Hg 3.05
Ag 0.2081 0.7919 0.0000  12 Ag 2.92-2.98
In 0.0406 0.9594 0.5000  10 Ag 2.95-3.05, 2 Hg 2.98
Hg 0.5412 0.4588 0.5000  10 Ag 2.95-3.05, 2 In 2.98


[13]
TbVSb2: relaxed, PBE-GGA.

## Properties
D(E_F) (states/eV per atom): 1.0517
SG: R-3m (166)
ΔE_f (raw) (eV per formula unit): -1.81

Unit cell a=4.2098 b=4.2098 c=7.0219 alpha=72.56 beta=72.56 gamma=60.00
With the nearest neighbours (Å) after each atom.
Positions (direct):
Sb 0.7370 0.7370 0.7889  3 V 2.80, 3 Tb 3.09
Sb 0.2630 0.2630 0.2111  3 V 2.80, 3 Tb 3.09
Tb 0.5000 0.5000 0.5000  6 Sb 3.09
V 0.0000 0.0000 0.0000  6 Sb 2.80


[14]
KGeH2Cl8: relaxed, PBE-GGA.

## Properties
VASP energy (eV/atom): -3.02
SG: P-1 (2)

Unit cell a=6.8000 b=7.2878 c=8.7051 alpha=92.39 beta=82.82 gamma=126.79
With the nearest neighbours (Å) after each atom.
Positions (direct):
Cl 0.4462 0.2887 0.9771  1 H 2.36, 1 Ge 2.43
Cl 0.9332 0.1841 0.1941  1 Ge 2.28
Cl 0.0668 0.8159 0.8059  1 Ge 2.28
Cl 0.3772 0.6651 0.4429  1 H 1.31
Cl 0.5538 0.7113 0.0229  1 H 2.36, 1 Ge 2.43
Cl 0.0370 0.8013 0.1760  1 Ge 2.29
Cl 0.6228 0.3349 0.5571  1 H 1.31
Cl 0.9630 0.1987 0.8240  1 Ge 2.29
K 0.0000 0.0000 0.5000  6 Cl 3.17-3.49
Ge 0.0000 0.0000 0.0000  6 Cl 2.28-2.43
H 0.5669 0.3185 0.7074  1 Cl 1.31
H 0.4331 0.6815 0.2926  1 Cl 1.31


[15]
DyTm2Pd: relaxed, PBE-GGA.

## Properties
D(E_F) (states/eV per atom): 1.1888
DFT formation energy (meV/atom): -491.1
Excess energy over the best structure of this formula in the dataset (kJ/mol of formula units): 0
SG: Pnma (62)

Unit cell a=6.4205 b=6.9632 c=9.5470 alpha=90.00 beta=90.00 gamma=90.00
With the nearest neighbours (Å) after each atom.
Positions (direct):
Dy 0.8718 0.0192 0.2500  2 Pd 2.85-2.91
Dy 0.6282 0.5192 0.2500  2 Pd 2.85-2.91
Dy 0.3718 0.4808 0.7500  2 Pd 2.85-2.91
Dy 0.1282 0.9808 0.7500  2 Pd 2.85-2.91
Pd 0.9413 0.6094 0.7500  4 Tm 2.82-2.89, 2 Dy 2.85-2.91
Pd 0.5587 0.1094 0.7500  4 Tm 2.82-2.89, 2 Dy 2.85-2.91
Pd 0.4413 0.8906 0.2500  4 Tm 2.82-2.89, 2 Dy 2.85-2.91
Pd 0.0587 0.3906 0.2500  4 Tm 2.82-2.89, 2 Dy 2.85-2.91
Tm 0.3230 0.1805 0.4411  2 Pd 2.82-2.89
Tm 0.8230 0.3195 0.9411  2 Pd 2.82-2.89
Tm 0.8230 0.3195 0.5589  2 Pd 2.82-2.89
Tm 0.6770 0.8195 0.9411  2 Pd 2.82-2.89
Tm 0.3230 0.1805 0.0589  2 Pd 2.82-2.89
Tm 0.1770 0.6805 0.0589  2 Pd 2.82-2.89
Tm 0.6770 0.8195 0.5589  2 Pd 2.82-2.89
Tm 0.1770 0.6805 0.4411  2 Pd 2.82-2.89


[16]
Fe2RePb: relaxed, PBE-GGA.

## Properties
D(E_F) (states/eV per atom): 0.9145
DFT formation energy (meV/atom): 640.1
SG: Imm2 (44)

Unit cell a=5.1860 b=5.1860 c=5.1860 alpha=144.88 beta=129.45 gamma=63.04
With the nearest neighbours (Å) after each atom.
Positions (direct):
Pb 0.5094 0.5094 0.0000  6 Fe 2.72-2.78, 4 Re 2.90-2.97
Re 0.2339 0.7339 0.5000  6 Fe 2.68-2.73, 4 Pb 2.90-2.97
Fe 0.9876 0.9876 0.0000  2 Fe 2.49, 2 Re 2.68, 4 Pb 2.72
Fe 0.7691 0.2691 0.5000  2 Fe 2.49, 4 Re 2.73, 2 Pb 2.78


[17]
Cd2AgAu8: relaxed, PBE-GGA.

## Properties
D(E_F) (states/eV per atom): 0.3224
DFT formation energy (meV/atom): -75.6
Excess energy over the best structure of this formula in the dataset (kJ/mol of formula units): 0
SG: Immm (71)

Unit cell a=3.9223 b=8.8161 c=7.8216 alpha=124.30 beta=104.52 gamma=90.00
With the nearest neighbours (Å) after each atom.
Positions (direct):
Au 0.0000 0.7566 0.0000  6 Au 2.83-3.06, 2 Cd 2.85, 2 Ag 2.91
Au 0.3349 0.0848 0.6697  7 Au 2.83-2.95, 2 Cd 2.97, 1 Ag 3.00
Au 0.8229 0.8229 0.6458  2 Ag 2.93, 8 Au 2.94-3.06, 2 Cd 2.98
Au 0.0000 0.2434 0.0000  6 Au 2.83-3.06, 2 Cd 2.85, 2 Ag 2.91
Au 0.6651 0.9152 0.3303  7 Au 2.83-2.95, 2 Cd 2.97, 1 Ag 3.00
Au 0.3349 0.5849 0.6697  7 Au 2.83-2.95, 2 Cd 2.97, 1 Ag 3.00
Au 0.1771 0.1771 0.3542  2 Ag 2.93, 8 Au 2.94-3.06, 2 Cd 2.98
Au 0.6651 0.4151 0.3303  7 Au 2.83-2.95, 2 Cd 2.97, 1 Ag 3.00
Cd 0.1408 0.6408 0.2816  8 Au 2.85-2.98
Cd 0.8592 0.3592 0.7184  8 Au 2.85-2.98
Ag 0.5000 0.0000 0.0000  12 Au 2.91-3.00


[18]
NaMnCr4S8: relaxed, PBE-GGA.

## Properties
D(E_F) (states/eV per atom): 0.4340
SG: R3m (160)
ΔE_f (raw) (eV per formula unit): -7.92

Unit cell a=6.8258 b=6.8258 c=7.1505 alpha=61.49 beta=61.49 gamma=60.00
With the nearest neighbours (Å) after each atom.
Positions (direct):
Na 0.4725 0.4725 0.5824  6 S 2.50-2.68
S 0.2459 0.2459 0.2624  3 Cr 2.23
S 0.2199 0.2199 0.7832  2 Cr 2.27, 1 Mn 2.36, 1 Na 2.50
S 0.7423 0.7423 0.2939  3 Cr 2.38-2.57, 1 Mn 2.39
S 0.7658 0.7658 0.7027  4 Cr 2.33-2.58
S 0.2215 0.7423 0.2939  3 Cr 2.38-2.57, 1 Mn 2.39
S 0.7423 0.2215 0.2939  3 Cr 2.38-2.57, 1 Mn 2.39
S 0.2199 0.7770 0.7832  2 Cr 2.27, 1 Mn 2.36, 1 Na 2.50
S 0.7770 0.2199 0.7832  2 Cr 2.27, 1 Mn 2.36, 1 Na 2.50
Cr 0.6356 0.6356 0.0931  4 S 2.33-2.38
Cr 0.0238 0.0238 0.5262  3 S 2.23-2.27
Cr 0.4262 0.0238 0.5262  3 S 2.23-2.27
Cr 0.0238 0.4262 0.5262  3 S 2.23-2.27
Mn 0.9835 0.9835 0.0494  6 S 2.36-2.39


[19]
Ho2ReN: relaxed, PBE-GGA.

## Properties
D(E_F) (states/eV per atom): 0.7388
SG: R-3m (166)
ΔE_f (raw) (eV per formula unit): -0.32

Unit cell a=3.1781 b=3.1781 c=8.6348 alpha=79.40 beta=79.40 gamma=60.00
With the nearest neighbours (Å) after each atom.
Positions (direct):
N 0.5000 0.5000 0.5000  6 Ho 2.32
Ho 0.1108 0.1108 0.6675  3 N 2.32
Ho 0.8892 0.8892 0.3325  3 N 2.32
Re 0.0000 0.0000 0.0000  2 Ho 2.81


[20]
SmHoGaSn: relaxed, PBE-GGA.

## Properties
D(E_F) (states/eV per atom): 0.9024
DFT formation energy (meV/atom): -699.8
Excess energy over the best structure of this formula in the dataset (kJ/mol of formula units): 0
SG: Amm2 (38)

Unit cell a=4.5014 b=4.1854 c=6.0582 alpha=90.00 beta=111.81 gamma=90.00
With the nearest neighbours (Å) after each atom.
Positions (direct):
Sn 0.4197 0.0000 0.8394  2 Ga 2.81
Ho 0.8580 0.5000 0.7160  3 Ga 3.06-3.41, 4 Sn 3.15
Sm 0.1365 0.0000 0.2730  4 Ga 3.13, 3 Sn 3.19-3.32
Ga 0.5858 0.5000 0.1716  2 Sn 2.81, 1 Ho 3.06, 4 Sm 3.13